Density functional theory data (PBE) for an optimized crystal structure of LiSn2O.

Lattice parameters (Å, degrees): 7.727 7.727 7.727 140.23 140.23 57.51
Sites, in units of the cell vectors:
Li  0.000  0.000  0.000
Li  0.750  0.250  0.500
Sn  0.230  0.625  0.105
Sn  0.375  0.480  0.605
Sn  0.520  0.125  0.895
Sn  0.875  0.770  0.395
O  0.250  0.750  0.500
O  0.500  0.500  0.000

Output
DFT total energy   -4.119 eV per atom
Total magnetic moment   0.0000 μB per atom
Raw formation energy   -0.3999 eV/atom

---

Density functional theory data (PBE) for an optimized crystal structure of Cs2LaErS4.

Lattice parameters (Å, degrees): 7.298 4.211 8.425 90.00 106.73 90.00
Sites, in units of the cell vectors:
Cs  0.000  0.000  0.000
Cs  0.500  0.500  0.000
La  0.000  0.500  0.500
Er  0.500  0.000  0.500
S  0.242  0.000  0.685
S  0.285  0.500  0.319
S  0.715  0.500  0.681
S  0.758  0.000  0.315

Output
DFT total energy   -5.311 eV per atom
Total magnetic moment   0.0000 μB per atom
Raw formation energy   -1.8473 eV/atom

---

Density functional theory data (PBE) for an optimized crystal structure of Li2CaIn2Rh2.

Lattice parameters (Å, degrees): 4.498 4.498 8.269 105.88 105.88 60.00
Sites, in units of the cell vectors:
Li  0.083  0.083  0.250
Li  0.917  0.917  0.750
Ca  0.500  0.500  0.500
In  0.367  0.367  0.103
In  0.633  0.633  0.897
Rh  0.251  0.251  0.753
Rh  0.749  0.749  0.247

Output
DFT total energy   -4.018 eV per atom
Energy relative to the elements   -0.303 eV/atom
Total magnetic moment   0.0000 μB per atom

---

Density functional theory data (PBE) for an optimized crystal structure of Tc2AgBi.

Lattice parameters (Å, degrees): 6.039 6.039 6.039 101.62 101.62 126.67
Sites, in units of the cell vectors:
Tc  0.119  0.125  0.494
Tc  0.375  0.881  0.006
Tc  0.631  0.625  0.506
Tc  0.875  0.369  0.994
Ag  0.250  0.750  0.500
Ag  0.500  0.500  0.000
Bi  0.000  0.000  0.000
Bi  0.750  0.250  0.500

Output
DFT total energy   -5.769 eV per atom
Energy relative to the elements   1.097 eV/atom
Total magnetic moment   0.4911 μB per atom

---

Density functional theory data (PBE) for an optimized crystal structure of Be2TcCl.

Lattice parameters (Å, degrees): 4.718 4.718 4.718 137.01 137.01 62.43
Sites, in units of the cell vectors:
Be  0.250  0.750  0.500
Be  0.750  0.250  0.500
Tc  0.000  0.000  0.000
Cl  0.500  0.500  0.000

Output
DFT total energy   -4.229 eV per atom
Relative energy among the computed polymorphs   0.561 eV/atom
Total magnetic moment   0.0000 μB per atom
Raw formation energy   0.6870 eV/atom

---

Density functional theory data (PBE) for an optimized crystal structure of Al4GeS7.

Lattice parameters (Å, degrees): 15.232 6.335 6.120 90.00 90.00 90.00
Sites, in units of the cell vectors:
Al  0.122  0.177  0.000
Al  0.250  0.329  0.468
Al  0.250  0.671  0.968
Al  0.378  0.823  0.500
Al  0.622  0.823  0.500
Al  0.750  0.329  0.468
Al  0.750  0.671  0.968
Al  0.878  0.177  0.000
Ge  0.000  0.676  0.674
Ge  0.500  0.324  0.174
S  0.000  0.317  0.842
S  0.117  0.824  0.912
S  0.126  0.189  0.361
S  0.245  0.329  0.850
S  0.255  0.671  0.350
S  0.374  0.811  0.861
S  0.383  0.176  0.412
S  0.500  0.683  0.342
S  0.617  0.176  0.412
S  0.626  0.811  0.861
S  0.745  0.671  0.350
S  0.755  0.329  0.850
S  0.874  0.189  0.361
S  0.883  0.824  0.912

Output
DFT total energy   -4.921 eV per atom
Total magnetic moment   0.0000 μB per atom
Raw formation energy   -0.8815 eV/atom

---

Density functional theory data (PBE) for an optimized crystal structure of SrNbIrO6.

Lattice parameters (Å, degrees): 4.985 4.985 9.772 90.00 90.00 90.00
Sites, in units of the cell vectors:
Sr  0.000  0.000  0.000
Sr  0.500  0.500  0.500
Nb  0.000  0.000  0.662
Nb  0.500  0.500  0.162
Ir  0.000  0.000  0.326
Ir  0.500  0.500  0.826
O  0.166  0.166  0.489
O  0.222  0.222  0.191
O  0.226  0.226  0.799
O  0.274  0.726  0.299
O  0.278  0.722  0.691
O  0.334  0.666  0.989
O  0.666  0.334  0.989
O  0.722  0.278  0.691
O  0.726  0.274  0.299
O  0.774  0.774  0.799
O  0.778  0.778  0.191
O  0.834  0.834  0.489

Output
DFT total energy   -7.434 eV per atom
Total magnetic moment   0.1813 μB per atom
Raw formation energy   -1.8381 eV/atom

---

Density functional theory data (PBE) for an optimized crystal structure of Ho2TmSc6.

Lattice parameters (Å, degrees): 9.143 9.143 3.285 90.00 90.00 120.00
Sites, in units of the cell vectors:
Ho  0.333  0.667  0.000
Ho  0.667  0.333  0.000
Tm  0.000  0.000  0.000
Sc  0.000  0.333  0.500
Sc  0.000  0.667  0.500
Sc  0.333  0.000  0.500
Sc  0.333  0.333  0.500
Sc  0.667  0.000  0.500
Sc  0.667  0.667  0.500

Output
DFT total energy   -5.672 eV per atom
Relative energy among the computed polymorphs   0.000 eV/atom
Energy relative to the elements   0.063 eV/atom
Total magnetic moment   0.0012 μB per atom